Computed, not measured: crystalline Cs3Na3As2 at its relaxed geometry at the PBE level of DFT.

Cell: 7.1877 10.3628 17.6865 Å, 90.00 90.00 90.00°
Last column: nearest neighbours and their distance in Å.
Atoms (fractional coordinates):
1 Na 0.3915 0.6441 0.5337  3 As 3.00-3.13
2 Na 0.6085 0.3559 0.0337  3 As 3.00-3.13
3 Na 0.8915 0.8559 0.0337  3 As 3.00-3.13
4 Na 0.4879 0.3686 0.7500  2 As 2.86
5 Na 0.5121 0.6314 0.2500  2 As 2.86
6 Na 0.6085 0.3559 0.4663  3 As 3.00-3.13
7 Na 0.8915 0.8559 0.4663  3 As 3.00-3.13
8 Na 0.0121 0.8686 0.7500  2 As 2.86
9 Na 0.9879 0.1314 0.2500  2 As 2.86
10 Na 0.1085 0.1441 0.9663  3 As 3.00-3.13
11 Na 0.1085 0.1441 0.5337  3 As 3.00-3.13
12 Na 0.3915 0.6441 0.9663  3 As 3.00-3.13
13 As 0.8485 0.1296 0.4015  4 Na 2.86-3.13
14 As 0.3485 0.3704 0.5985  4 Na 2.86-3.13
15 As 0.1515 0.8704 0.5985  4 Na 2.86-3.13
16 As 0.6515 0.6296 0.0985  4 Na 2.86-3.13
17 As 0.6515 0.6296 0.4015  4 Na 2.86-3.13
18 As 0.1515 0.8704 0.9015  4 Na 2.86-3.13
19 As 0.8485 0.1296 0.0985  4 Na 2.86-3.13
20 As 0.3485 0.3704 0.9015  4 Na 2.86-3.13
21 Cs 0.0807 0.2047 0.7500  2 Na 3.38-3.52, 2 As 3.72
22 Cs 0.4193 0.7047 0.7500  2 Na 3.38-3.52, 2 As 3.72
23 Cs 0.8984 0.5546 0.8981  3 As 3.74-4.04, 4 Na 3.79-3.95, 1 Cs 4.05
24 Cs 0.6016 0.0546 0.6019  3 As 3.74-4.04, 4 Na 3.79-3.95, 1 Cs 4.05
25 Cs 0.1016 0.4454 0.3981  3 As 3.74-4.04, 4 Na 3.79-3.95, 1 Cs 4.05
26 Cs 0.6016 0.0546 0.8981  3 As 3.74-4.04, 4 Na 3.79-3.95, 1 Cs 4.05
27 Cs 0.5807 0.2953 0.2500  2 Na 3.38-3.52, 2 As 3.72
28 Cs 0.9193 0.7953 0.2500  2 Na 3.38-3.52, 2 As 3.72
29 Cs 0.1016 0.4454 0.1019  3 As 3.74-4.04, 4 Na 3.79-3.95, 1 Cs 4.05
30 Cs 0.8984 0.5546 0.6019  3 As 3.74-4.04, 4 Na 3.79-3.95, 1 Cs 4.05
31 Cs 0.3984 0.9454 0.1019  3 As 3.74-4.04, 4 Na 3.79-3.95, 1 Cs 4.05
32 Cs 0.3984 0.9454 0.3981  3 As 3.74-4.04, 4 Na 3.79-3.95, 1 Cs 4.05

Values from the calculation:
The calculated density is 3.11 g/cm³. As for the total magnetic moment: 0.0 μB per formula unit. The energy of formation comes out at -0.304 eV per atom. The space-group type is Pnma (62).



Computed, not measured: crystalline CsNa4As4 at its relaxed geometry at the PBE level of DFT.

Cell: 5.7845 9.9036 9.9036 Å, 90.00 90.00 90.00°
Last column: nearest neighbours and their distance in Å.
Atoms (fractional coordinates):
1 Cs 0.0000 0.0000 0.0000  8 As 3.78-4.15, 4 Na 4.02
2 Cs 0.5000 0.5000 0.5000  8 As 3.78-4.15, 4 Na 4.02
3 As 0.8602 0.6750 0.1823  1 As 2.37
4 As 0.8602 0.3250 0.8177  1 As 2.37
5 As 0.6398 0.1750 0.6823  1 As 2.37
6 As 0.3602 0.3177 0.1750  1 As 2.37
7 As 0.6398 0.8250 0.3177  1 As 2.37
8 As 0.3602 0.6823 0.8250  1 As 2.37
9 As 0.1398 0.1823 0.3250  1 As 2.37
10 As 0.1398 0.8177 0.6750  1 As 2.37
11 Na 0.6392 0.1263 0.3643  5 As 2.97-3.19
12 Na 0.6392 0.8737 0.6357  5 As 2.97-3.19
13 Na 0.3608 0.6357 0.1263  5 As 2.97-3.19
14 Na 0.1392 0.1357 0.6263  5 As 2.97-3.19
15 Na 0.8608 0.3737 0.1357  5 As 2.97-3.19
16 Na 0.3608 0.3643 0.8737  5 As 2.97-3.19
17 Na 0.1392 0.8643 0.3737  5 As 2.97-3.19
18 Na 0.8608 0.6263 0.8643  5 As 2.97-3.19

Values from the calculation:
The calculated density is 3.07 g/cm³. As for the total magnetic moment: 0.0 μB per formula unit. The energy of formation comes out at -0.287 eV per atom. The space-group type is P4_2/n (86).



Computed, not measured: crystalline Cs3NaAs2O6 at its relaxed geometry at the PBE level of DFT.

Cell: 6.4599 6.4599 7.8354 Å, 90.00 90.00 120.00°
Last column: nearest neighbours and their distance in Å.
Atoms (fractional coordinates):
1 O 0.8140 0.6280 0.7003  1 As 1.74
2 O 0.6280 0.8140 0.2997  1 As 1.74
3 O 0.1860 0.8140 0.2997  1 As 1.74
4 O 0.3720 0.1860 0.7003  1 As 1.74
5 O 0.8140 0.1860 0.7003  1 As 1.74
6 O 0.1860 0.3720 0.2997  1 As 1.74
7 Cs 0.6667 0.3333 0.3272  9 O 3.24-3.36, 1 As 3.47
8 Cs 0.3333 0.6667 0.6728  9 O 3.24-3.36, 1 As 3.47
9 Cs 0.0000 0.0000 0.0000  6 O 3.14
10 Na 0.0000 0.0000 0.5000  6 O 2.61
11 As 0.3333 0.6667 0.2295  3 O 1.74
12 As 0.6667 0.3333 0.7705  3 O 1.74

Values from the calculation:
The calculated density is 3.91 g/cm³. As for the total magnetic moment: 2.0 μB per formula unit. The formation energy from raw total energies comes out at -140 kJ/mol of atoms. The space-group type is P-3m1 (164).



Computed, not measured: crystalline CsNaAsO2 at its relaxed geometry at the PBE level of DFT.

Cell: 5.7223 6.7894 5.7871 Å, 105.85 90.00 90.00°
Last column: nearest neighbours and their distance in Å.
Atoms (fractional coordinates):
1 Cs 0.2587 0.5000 0.7500  4 O 3.14-3.48
2 Cs 0.7413 0.5000 0.2500  4 O 3.14-3.48
3 O 0.2605 0.8158 0.4415  1 As 1.92
4 O 0.7395 0.8158 0.9415  1 As 1.92
5 O 0.7395 0.1842 0.5585  1 As 1.92
6 O 0.2605 0.1842 0.0585  1 As 1.92
7 Na 0.4959 0.0000 0.2500  4 O 2.32-2.34
8 Na 0.5041 0.0000 0.7500  4 O 2.32-2.34
9 As 0.0000 0.0000 0.0000  2 O 1.92
10 As 0.0000 0.0000 0.5000  2 O 1.92

Values from the calculation:
The calculated density is 4.04 g/cm³. As for the total magnetic moment: 0.4 μB per formula unit. The formation energy from raw total energies comes out at -92 kJ/mol of atoms. The space-group type is P2/c (13).



Computed, not measured: crystalline CsNaAsPb2 at its relaxed geometry at the PBE level of DFT.

Cell: 6.4390 5.9241 6.4390 Å, 90.00 90.00 90.00°
Last column: nearest neighbours and their distance in Å.
Atoms (fractional coordinates):
1 Pb 0.0000 0.0000 0.5000  2 Cs 3.22
2 Pb 0.5000 0.0000 0.0000  2 Cs 3.22
3 Cs 0.0000 0.0000 0.0000  2 As 2.96, 4 Pb 3.22
4 As 0.0000 0.5000 0.0000  2 Cs 2.96
5 Na 0.5000 0.5000 0.5000  8 Pb 4.37, 4 As 4.55

Values from the calculation:
The calculated density is 4.36 g/cm³. As for the total magnetic moment: 0.0 μB per formula unit. The energy of formation comes out at 1.031 eV per atom. The space-group type is P4/mmm (123).



Computed, not measured: crystalline Cs2NaAs2Pd at its relaxed geometry at the PBE level of DFT.

Cell: 6.8220 6.8166 9.6377 Å, 110.71 110.73 90.00°
Last column: nearest neighbours and their distance in Å.
Atoms (fractional coordinates):
1 As 0.2284 0.9198 0.8397  2 Pd 2.53
2 As 0.6112 0.4198 0.8397  2 Pd 2.53
3 As 0.7716 0.0802 0.1603  2 Pd 2.53
4 As 0.3888 0.5802 0.1603  2 Pd 2.53
5 Pd 0.5000 0.2500 0.0000  4 As 2.53
6 Pd 0.5000 0.7500 0.0000  4 As 2.53
7 Na 0.0000 0.7500 0.0000  4 As 3.02
8 Na 0.0000 0.2500 0.0000  4 As 3.02
9 Cs 0.6068 0.8297 0.6595  4 As 3.53-3.93, 2 Na 3.65, 2 Pd 3.81
10 Cs 0.0527 0.3297 0.6595  4 As 3.53-3.93, 2 Na 3.65, 2 Pd 3.81
11 Cs 0.9473 0.6703 0.3405  4 As 3.53-3.93, 2 Na 3.65, 2 Pd 3.81
12 Cs 0.3932 0.1703 0.3405  4 As 3.53-3.93, 2 Na 3.65, 2 Pd 3.81

Values from the calculation:
The calculated density is 4.66 g/cm³. As for the total magnetic moment: 0.0 μB per formula unit. The energy of formation comes out at -0.343 eV per atom. The space-group type is Ibam (72).



Computed, not measured: crystalline CsNa2AsPt at its relaxed geometry at the PBE level of DFT.

Cell: 5.6933 5.6933 4.7507 Å, 90.00 90.00 90.00°
Last column: nearest neighbours and their distance in Å.
Atoms (fractional coordinates):
1 As 0.0000 0.0000 0.5000  2 Pt 2.38
2 Cs 0.5000 0.5000 0.5000  8 Na 3.71, 4 As 4.03
3 Na 0.5000 0.0000 0.0000  2 Pt 2.85
4 Na 0.0000 0.5000 0.0000  2 Pt 2.85
5 Pt 0.0000 0.0000 0.0000  2 As 2.38

Values from the calculation:
The calculated density is 4.84 g/cm³. As for the total magnetic moment: 0.0 μB per formula unit. The energy of formation comes out at -0.283 eV per atom. The space-group type is P4/mmm (123). The calculation puts the distance to the lowest polymorph of the same formula at 0.00 eV per formula unit.



Computed, not measured: crystalline CsNa2AsPt at its relaxed geometry at the PBE level of DFT.

Cell: 5.6790 5.6790 4.8066 Å, 90.00 90.00 90.00°
Last column: nearest neighbours and their distance in Å.
Atoms (fractional coordinates):
1 As 0.0000 0.0000 0.0000  2 Pt 2.40
2 Cs 0.5000 0.5000 0.5000  8 Na 3.72, 4 Pt 4.02
3 Pt 0.0000 0.0000 0.5000  2 As 2.40
4 Na 0.5000 0.0000 0.0000  2 As 2.84
5 Na 0.0000 0.5000 0.0000  2 As 2.84

Values from the calculation:
The calculated density is 4.81 g/cm³. As for the total magnetic moment: 0.0 μB per formula unit. The energy of formation comes out at -0.229 eV per atom. The space-group type is P4/mmm (123). The calculation puts the distance to the lowest polymorph of the same formula at 0.27 eV per formula unit.



Number 1: electronic total energy -2.28 eV/atom. Number 2: electronic total energy -3.03 eV/atom. Number 3: electronic total energy -5.03 eV/atom. Number 4: electronic total energy -4.30 eV/atom. Number 5: electronic total energy -1.82 eV/atom. Number 6: electronic total energy -3.26 eV/atom. Number 7: electronic total energy -3.12 eV/atom. Number 8: electronic total energy -3.06 eV/atom.